{
  "formula": "CrP2SeO",
  "functional": "GGA+U",
  "state": "relaxed",
  "lattice": [[4.8197, 0.0000, 0.0000], [0.0000, 4.8197, 0.0000], [0.0000, 0.0000, 3.5658]],
  "species": ["Cr", "P", "P", "Se", "O"],
  "fractional_positions": [[0.0000, 0.0000, 0.0000], [0.0000, 0.5000, 0.0000], [0.5000, 0.0000, 0.0000], [0.5000, 0.5000, 0.5000], [0.0000, 0.0000, 0.5000]],
  "magmom_total_mub_per_atom": 0.312,
  "de_polymorph_kcal_per_mol_atoms": 0.00
}